Entry 1:
This record from the Alexandria database describes a geometry-optimized TaTeCl2 structure. The functional is PBE.

Unit cell a=3.051 b=3.051 c=10.034 alpha=90.00 beta=90.00 gamma=90.00
Element x y z (fractional)
Cl: 0.000 0.000 0.097
Cl: 0.000 0.000 0.403
Te: 0.500 0.500 0.750
Ta: 0.500 0.500 0.250

## Properties
Energy above the most stable polymorph in this dataset, eV per atom: 0.425
Space-group type: No. 123
V, Å³ per cell: 93
E_tot, Ry per atom: -0.3653

***

Entry 2:
This record from the Alexandria database describes a geometry-optimized Ta2TeCl structure. The functional is PBE.

Unit cell a=4.817 b=4.817 c=5.368 alpha=76.78 beta=76.78 gamma=41.16
Element x y z (fractional)
Cl: 0.271 0.271 0.120
Ta: 0.002 0.002 0.073
Ta: 0.734 0.734 0.783
Te: 0.493 0.493 0.524

## Properties
Energy above the most stable polymorph in this dataset, eV per atom: 0.352
Space-group type: No. 8
V, Å³ per cell: 80
E_tot, Ry per atom: -0.5129

***

Entry 3:
This record from the Alexandria database describes a geometry-optimized TaTeCl2 structure. The functional is PBE.

Unit cell a=11.335 b=11.335 c=11.335 alpha=16.05 beta=16.05 gamma=16.05
Element x y z (fractional)
Cl: 0.970 0.970 0.970
Cl: 0.530 0.530 0.530
Te: 0.750 0.750 0.750
Ta: 0.250 0.250 0.250

## Properties
Energy above the most stable polymorph in this dataset, eV per atom: 0.188
Space-group type: No. 166
V, Å³ per cell: 97
E_tot, Ry per atom: -0.3827

***

Entry 4:
This record from the Alexandria database describes a geometry-optimized Ta2TeCl structure. The functional is PBE.

Unit cell a=4.583 b=4.583 c=9.021 alpha=75.29 beta=75.29 gamma=90.00
Element x y z (fractional)
Cl: 0.500 0.500 0.000
Cl: 0.250 0.750 0.500
Te: 0.000 0.000 0.000
Te: 0.750 0.250 0.500
Ta: 0.565 0.125 0.250
Ta: 0.185 0.625 0.250
Ta: 0.375 0.435 0.750
Ta: 0.875 0.815 0.750

## Properties
Energy above the most stable polymorph in this dataset, eV per atom: 0.576
Space-group type: No. 122
V, Å³ per cell: 177
E_tot, Ry per atom: -0.4964

***

One value per record, in order, for energy relative to the elements, uncorrected: -0.30; 0.20; -0.53; 0.42 eV per atom.